Material: Mg2TaAl
Method: DFT, PBEsol
State: relaxed

## Properties
Formation enthalpy at 0 K in eV/atom: 0.056
VASP energy in eV per atom: -4.9630
Crystal system: tetragonal

Geometry as CIF:
```
data_Mg2TaAl
_chemical_formula_sum 'Mg2 Ta1 Al1'
_cell_length_a 2.8636
_cell_length_b 2.8636
_cell_length_c 9.1277
_cell_angle_alpha 90.00
_cell_angle_beta 90.00
_cell_angle_gamma 90.00
_space_group_name_H-M_alt 'P 4 m m'
_space_group_IT_number 99
loop_
_space_group_symop_operation_xyz
'x,y,z'
'-y,x,z'
'-x,-y,z'
'y,-x,z'
'-x,y,z'
'y,x,z'
'x,-y,z'
'-y,-x,z'
loop_
_atom_site_label
_atom_site_fract_x
_atom_site_fract_y
_atom_site_fract_z
_atom_site_occupancy
Mg1 0.0000 0.0000 0.0000 1
Mg2 0.5000 0.5000 0.2816 1
Ta1 0.0000 0.0000 0.5345 1
Al1 0.5000 0.5000 0.7518 1
```